Entry 1:
# Ag2AuF2 (GGA-PBE, optimized geometry)
data_Ag2AuF2
_chemical_formula_sum 'Ag4 Au2 F4'
_symmetry_space_group_name_H-M 'P 1'
_symmetry_Int_Tables_number 1
_cell_length_a 5.394
_cell_length_b 6.190
_cell_length_c 6.190
_cell_angle_alpha 75.01
_cell_angle_beta 64.17
_cell_angle_gamma 64.17
loop_
_symmetry_equiv_pos_as_xyz
'x,y,z'
loop_
_atom_site_label
_atom_site_type_symbol
_atom_site_fract_x
_atom_site_fract_y
_atom_site_fract_z
Au1 Au 0.250 0.000 0.000
Au2 Au 0.750 0.000 0.000
F1 F 0.856 0.760 0.528
F2 F 0.144 0.240 0.472
F3 F 0.644 0.472 0.240
F4 F 0.356 0.528 0.760
Ag1 Ag 0.368 0.829 0.435
Ag2 Ag 0.868 0.435 0.829
Ag3 Ag 0.632 0.171 0.565
Ag4 Ag 0.132 0.565 0.171
# Energy relative to the elements, uncorrected, meV/atom: -674
# Symmetry: Ibam (72)
# Total DFT energy (no corrections), eV per atom: -3.218
# Total magnetization, μB/atom: 0.000

=====

Entry 2:
# Ag2AuF6 (GGA-PBE, optimized geometry)
data_Ag2AuF6
_chemical_formula_sum 'Ag4 Au2 F12'
_symmetry_space_group_name_H-M 'P 1'
_symmetry_Int_Tables_number 1
_cell_length_a 4.371
_cell_length_b 9.085
_cell_length_c 9.085
_cell_angle_alpha 115.11
_cell_angle_beta 90.94
_cell_angle_gamma 90.94
loop_
_symmetry_equiv_pos_as_xyz
'x,y,z'
loop_
_atom_site_label
_atom_site_type_symbol
_atom_site_fract_x
_atom_site_fract_y
_atom_site_fract_z
Ag1 Ag 0.009 0.268 0.443
Ag2 Ag 0.509 0.443 0.268
Ag3 Ag 0.491 0.557 0.732
Ag4 Ag 0.991 0.732 0.557
F1 F 0.465 0.197 0.028
F2 F 0.472 0.371 0.845
F3 F 0.035 0.972 0.803
F4 F 0.535 0.803 0.972
F5 F 0.965 0.028 0.197
F6 F 0.972 0.845 0.371
F7 F 0.028 0.155 0.629
F8 F 0.528 0.629 0.155
F9 F 0.989 0.551 0.697
F10 F 0.011 0.449 0.303
F11 F 0.489 0.697 0.551
F12 F 0.511 0.303 0.449
Au1 Au 0.750 0.827 0.173
Au2 Au 0.250 0.173 0.827
# Energy relative to the elements, uncorrected, meV/atom: -1083
# Relative energy among the computed polymorphs, meV per atom: 0
# Symmetry: C2/c (15)
# Total DFT energy (no corrections), eV per atom: -3.328
# Total magnetization, μB/atom: 0.068

=====

Entry 3:
# Ag2AuF (GGA-PBE, optimized geometry)
data_Ag2AuF
_chemical_formula_sum 'Ag2 Au1 F1'
_symmetry_space_group_name_H-M 'P 1'
_symmetry_Int_Tables_number 1
_cell_length_a 4.574
_cell_length_b 4.574
_cell_length_c 4.574
_cell_angle_alpha 60.00
_cell_angle_beta 60.00
_cell_angle_gamma 60.00
loop_
_symmetry_equiv_pos_as_xyz
'x,y,z'
loop_
_atom_site_label
_atom_site_type_symbol
_atom_site_fract_x
_atom_site_fract_y
_atom_site_fract_z
F1 F 0.000 0.000 0.000
Au1 Au 0.500 0.500 0.500
Ag1 Ag 0.250 0.250 0.250
Ag2 Ag 0.750 0.750 0.750
# Energy relative to the elements, uncorrected, meV/atom: -313
# Relative energy among the computed polymorphs, meV per atom: 221
# Symmetry: Fm-3m (225)
# Total DFT energy (no corrections), eV per atom: -3.026
# Total magnetization, μB/atom: 0.000

=====

Entry 4:
# Ag2AuF7 (GGA-PBE, optimized geometry)
data_Ag2AuF7
_chemical_formula_sum 'Ag4 Au2 F14'
_symmetry_space_group_name_H-M 'P 1'
_symmetry_Int_Tables_number 1
_cell_length_a 8.858
_cell_length_b 6.917
_cell_length_c 8.296
_cell_angle_alpha 79.02
_cell_angle_beta 57.73
_cell_angle_gamma 50.18
loop_
_symmetry_equiv_pos_as_xyz
'x,y,z'
loop_
_atom_site_label
_atom_site_type_symbol
_atom_site_fract_x
_atom_site_fract_y
_atom_site_fract_z
F1 F 0.712 0.233 0.948
F2 F 0.228 0.829 0.675
F3 F 0.288 0.767 0.052
F4 F 0.038 0.255 0.949
F5 F 0.962 0.745 0.051
F6 F 0.438 0.250 0.750
F7 F 0.772 0.171 0.325
F8 F 0.107 0.733 0.448
F9 F 0.732 0.671 0.825
F10 F 0.562 0.750 0.250
F11 F 0.241 0.245 0.551
F12 F 0.268 0.329 0.175
F13 F 0.893 0.267 0.552
F14 F 0.759 0.755 0.449
Ag1 Ag 0.391 0.986 0.887
Ag2 Ag 0.736 0.486 0.387
Ag3 Ag 0.264 0.514 0.613
Ag4 Ag 0.609 0.014 0.113
Au1 Au 0.032 0.750 0.250
Au2 Au 0.968 0.250 0.750
# Energy relative to the elements, uncorrected, meV/atom: -1020
# Symmetry: C2/c (15)
# Total DFT energy (no corrections), eV per atom: -3.228
# Total magnetization, μB/atom: 0.000